Sm8Tm6In: relaxed, GGA-PBE.

Structure (POSCAR):
```
Sm8Tm6In
1.0
9.314 0.000 0.000
-4.657 8.067 0.000
0.000 0.000 6.420
Sm Tm In
8 6 1
direct
0.042 0.273 0.319
0.231 0.958 0.319
0.273 0.231 0.681
0.333 0.667 0.326
0.667 0.333 0.674
0.727 0.769 0.319
0.769 0.042 0.681
0.958 0.727 0.681
0.097 0.450 0.830
0.352 0.903 0.830
0.450 0.352 0.170
0.550 0.648 0.830
0.648 0.097 0.170
0.903 0.550 0.170
0.000 0.000 0.000
```

spin magnetization = 0.00 μB per cell
total energy = -4.401 eV per atom
calculated formation energy = 87 meV/atom